[1]
Entry from Alexandria: a relaxed KSn3Br crystal (GGA-PBE).

```
KSn3Br
1.0
5.7560 0.0000 0.0000
0.0000 5.7560 0.0000
0.0000 0.0000 5.7560
K Sn Br
1 3 1
direct
0.0000 0.0000 0.0000 K
0.0000 0.5000 0.5000 Sn
0.5000 0.0000 0.5000 Sn
0.5000 0.5000 0.0000 Sn
0.5000 0.5000 0.5000 Br
```

Properties
Energy relative to the lowest polymorph listed for this composition   0.000 eV per atom
Raw formation energy   0.3035 eV per atom

=====

[2]
Entry from Alexandria: a relaxed KSnBr2 crystal (GGA-PBE).

```
KSnBr2
1.0
2.0873 1.2051 9.9208
-2.0873 1.2051 9.9208
0.0000 -2.4102 9.9208
K Sn Br
1 1 2
direct
0.0000 0.0000 0.0000 K
0.5000 0.5000 0.5000 Sn
0.4044 0.4044 0.4044 Br
0.5956 0.5956 0.5956 Br
```

Properties
Energy relative to the lowest polymorph listed for this composition   0.000 eV per atom
Raw formation energy   -0.8700 eV per atom